Th3WN6 (PBE-GGA, relaxed); formation energy (no corrections) = -1.450 eV per atom; density of states at the Fermi level = 0.000 states/eV per atom
1.0
5.7575 0.0000 0.0000
0.0000 7.6269 -0.0378
0.0000 -1.7388 7.4262
Th W N
6 2 12
Cartesian
2.7204 5.6869 5.1321 Th
5.5992 3.7337 6.6887 Th
2.5672 1.9959 4.4499 Th
5.4459 3.8923 2.9385 Th
5.5992 0.2013 2.2563 Th
2.7204 2.1545 0.6997 Th
0.0725 0.0856 5.9723 W
2.9512 5.8026 1.4162 W
1.2287 3.9572 4.8106 N
4.1075 3.8062 4.9309 N
0.9890 1.5887 6.6156 N
3.8677 6.0942 3.0249 N
0.7522 -1.2795 7.0602 N
3.9199 0.2312 5.8563 N
1.0411 5.6570 1.5322 N
3.6309 7.1676 0.3283 N
0.9890 -0.2061 4.3635 N
3.8677 4.2995 0.7729 N
1.2287 2.0820 2.4575 N
4.1075 1.9309 2.5779 N

Th2ZrWN6 (PBE-GGA, relaxed); formation energy (no corrections) = -1.245 eV per atom
1.0
-0.3756 1.4868 -4.7518
3.6874 -3.8010 -1.4808
-4.0583 -3.6206 -0.8121
Th Zr W N
2 1 1 6
Cartesian
1.8433 -1.8990 -0.7454 Th
-2.0295 -1.8087 -0.4110 Th
-0.4005 -2.8594 -3.8676 Zr
-0.2206 0.8731 -2.7905 W
-0.3613 -0.7031 -3.9948 N
-2.4719 -2.5861 -4.4172 N
-0.2481 -3.4626 -1.9397 N
-0.0819 0.3244 -1.0367 N
-0.5541 -4.5629 -5.1873 N
1.5565 -2.6799 -4.7650 N

Th2ZrWN5 (PBE-GGA, relaxed); formation energy (no corrections) = -0.776 eV per atom; density of states at the Fermi level = 0.402 states/eV per atom
1.0
-3.8652 -2.8848 -3.4541
5.0654 -3.3454 -2.8742
-0.5502 -4.8220 4.6430
Th Zr W N
4 2 2 10
Cartesian
1.3688 -4.5056 -2.8631 Th
-1.2517 -3.6021 -0.6853 Th
1.9018 -7.4503 -1.0001 Th
-0.7187 -6.5467 1.1777 Th
2.2576 -4.0837 0.8844 Zr
0.0000 0.0000 0.0000 Zr
-0.2751 -2.4110 2.3215 W
2.5327 -1.6727 -1.4371 W
0.3250 -5.5262 -0.8427 N
-1.9326 -1.4424 -1.7271 N
-0.4984 -4.2939 1.7848 N
3.2238 -5.2095 -1.6156 N
0.8025 -2.5603 -1.1187 N
1.9229 -6.9431 1.2879 N
-2.5737 -5.8428 -0.0698 N
-0.1524 -8.4920 -0.5666 N
1.1485 -6.7585 -3.4702 N
-1.2728 -4.1092 -2.9733 N

- Which of these has the lowest formation energy (no corrections)?
  Th3WN6

- formation energy (no corrections) of number 1 (Th3WN6)?
  -1.450 eV per atom